The following is a PBE+U calculation of Na2ZrMo3O12 after structural relaxation, from Alexandria.

Unit cell a=10.145 b=10.145 c=5.024 alpha=99.74 beta=99.74 gamma=71.99
Sites, in units of the cell vectors:
Na: 0.045 0.268 0.395
Na: 0.268 0.045 0.895
Na: 0.732 0.955 0.105
Na: 0.955 0.732 0.605
Zr: 0.374 0.626 0.750
Zr: 0.626 0.374 0.250
Mo: 0.155 0.845 0.250
Mo: 0.240 0.428 0.099
Mo: 0.428 0.240 0.599
Mo: 0.572 0.760 0.401
Mo: 0.760 0.572 0.901
Mo: 0.845 0.155 0.750
O: 0.011 0.147 0.934
O: 0.086 0.464 0.238
O: 0.147 0.011 0.434
O: 0.181 0.718 0.494
O: 0.220 0.586 0.945
O: 0.231 0.309 0.777
O: 0.282 0.819 0.006
O: 0.309 0.231 0.277
O: 0.382 0.462 0.406
O: 0.414 0.780 0.555
O: 0.462 0.382 0.906
O: 0.464 0.086 0.738
O: 0.536 0.914 0.262
O: 0.538 0.618 0.094
O: 0.586 0.220 0.445
O: 0.618 0.538 0.594
O: 0.691 0.769 0.723
O: 0.718 0.181 0.994
O: 0.769 0.691 0.223
O: 0.780 0.414 0.055
O: 0.819 0.282 0.506
O: 0.853 0.989 0.566
O: 0.914 0.536 0.762
O: 0.989 0.853 0.066

Properties
Calculated total energy   -7.07 eV per atom
D(E_F)   0.0 states/eV per cell
Magnetization   0.0 μB/cell